No. 1
# SrCdSe2 (PBE-GGA, relaxed)
data_SrCdSe2
_chemical_formula_sum 'Sr3 Cd3 Se6'
_cell_length_a 4.2972
_cell_length_b 4.2972
_cell_length_c 20.4371
_cell_angle_alpha 90.00
_cell_angle_beta 90.00
_cell_angle_gamma 120.00
_symmetry_space_group_name_H-M 'R -3 m'
_symmetry_Int_Tables_number 166
_symmetry_space_group_name_Hall '-R 3 2"'
loop_
_atom_site_label
_atom_site_type_symbol
_atom_site_fract_x
_atom_site_fract_y
_atom_site_fract_z
Sr1 Sr 0.0000 0.0000 0.0000
Cd1 Cd 0.0000 0.0000 0.5000
Se1 Se 0.0000 0.0000 0.2419
# E_form (uncorrected) = -1241 meV per atom


No. 2
# Sr2CdSe (PBE-GGA, relaxed)
data_Sr2CdSe
_chemical_formula_sum 'Sr4 Cd2 Se2'
_cell_length_a 4.581
_cell_length_b 4.581
_cell_length_c 12.686
_cell_angle_alpha 90.00
_cell_angle_beta 90.00
_cell_angle_gamma 90.00
_symmetry_space_group_name_H-M 'I -4 m 2'
_symmetry_Int_Tables_number 119
_symmetry_space_group_name_Hall 'I -4 -2'
loop_
_atom_site_label
_atom_site_type_symbol
_atom_site_fract_x
_atom_site_fract_y
_atom_site_fract_z
Sr1 Sr 0.000 0.000 0.000
Sr2 Sr 0.000 0.500 0.250
Cd1 Cd 0.000 0.500 0.750
Se1 Se 0.000 0.000 0.500
# ΔE to the lowest computed polymorph = 0.233 eV/atom
# E_form (uncorrected) = -799 meV per atom


No. 3
# Sr2CdSe (PBE-GGA, relaxed)
data_Sr2CdSe
_chemical_formula_sum 'Sr2 Cd1 Se1'
_cell_length_a 4.630
_cell_length_b 4.630
_cell_length_c 6.554
_cell_angle_alpha 90.00
_cell_angle_beta 90.00
_cell_angle_gamma 90.00
_symmetry_space_group_name_H-M 'P 4/m m m'
_symmetry_Int_Tables_number 123
_symmetry_space_group_name_Hall '-P 4 2'
loop_
_atom_site_label
_atom_site_type_symbol
_atom_site_fract_x
_atom_site_fract_y
_atom_site_fract_z
Sr1 Sr 0.000 0.000 0.000
Sr2 Sr 0.500 0.500 0.500
Cd1 Cd 0.000 0.000 0.500
Se1 Se 0.500 0.500 0.000
# ΔE to the lowest computed polymorph = 0.128 eV/atom
# E_form (uncorrected) = -904 meV per atom


No. 4
# SrCd3Se (PBE-GGA, relaxed)
data_SrCd3Se
_chemical_formula_sum 'Sr1 Cd3 Se1'
_cell_length_a 6.225
_cell_length_b 6.225
_cell_length_c 6.225
_cell_angle_alpha 90.00
_cell_angle_beta 90.00
_cell_angle_gamma 90.00
_symmetry_space_group_name_H-M 'P m -3 m'
_symmetry_Int_Tables_number 221
_symmetry_space_group_name_Hall '-P 4 2 3'
loop_
_atom_site_label
_atom_site_type_symbol
_atom_site_fract_x
_atom_site_fract_y
_atom_site_fract_z
Sr1 Sr 0.000 0.000 0.000
Cd1 Cd 0.000 0.000 0.500
Se1 Se 0.500 0.500 0.500
# ΔE to the lowest computed polymorph = 0.586 eV/atom
# E_form (uncorrected) = 624 meV per atom


- Which value of E_form (uncorrected) does entry 1 give?
  -1241 meV per atom


- Among the records above, which one has the highest E_form (uncorrected)?
  SrCd3Se


What did the second record say?
# Sr2CdSe (PBE-GGA, relaxed)
data_Sr2CdSe
_chemical_formula_sum 'Sr4 Cd2 Se2'
_cell_length_a 4.581
_cell_length_b 4.581
_cell_length_c 12.686
_cell_angle_alpha 90.00
_cell_angle_beta 90.00
_cell_angle_gamma 90.00
_symmetry_space_group_name_H-M 'I -4 m 2'
_symmetry_Int_Tables_number 119
_symmetry_space_group_name_Hall 'I -4 -2'
loop_
_atom_site_label
_atom_site_type_symbol
_atom_site_fract_x
_atom_site_fract_y
_atom_site_fract_z
Sr1 Sr 0.000 0.000 0.000
Sr2 Sr 0.000 0.500 0.250
Cd1 Cd 0.000 0.500 0.750
Se1 Se 0.000 0.000 0.500
# ΔE to the lowest computed polymorph = 0.233 eV/atom
# E_form (uncorrected) = -799 meV per atom